[1]
Material: Mg3BiSb
Method: DFT, PBE
State: optimized geometry

Computed properties:
magnetization: 0.00 μB/f.u.
formation energy from raw total energies: 0.2731 eV/atom

a = 5.408 Å, b = 5.408 Å, c = 5.408 Å
α = 90.00°, β = 90.00°, γ = 90.00°
Fractional coordinates of all 5 atoms:
Mg  0.000  0.500  0.000
Bi  0.000  0.000  0.000
Mg  0.000  0.000  0.500
Sb  0.500  0.500  0.500
Mg  0.500  0.000  0.000

---

[2]
Material: MgBiSb3
Method: DFT, PBE
State: optimized geometry

Computed properties:
magnetization: 0.00 μB/f.u.
formation energy from raw total energies: 0.8674 eV/atom

a = 5.824 Å, b = 5.824 Å, c = 5.824 Å
α = 90.00°, β = 90.00°, γ = 90.00°
Fractional coordinates of all 5 atoms:
Bi  0.000  0.000  0.000
Sb  0.000  0.500  0.000
Sb  0.000  0.000  0.500
Sb  0.500  0.000  0.000
Mg  0.500  0.500  0.500

---

[3]
Material: Mg6Bi3Sb
Method: DFT, PBE
State: optimized geometry

Computed properties:
magnetization: 0.00 μB/f.u.
formation energy from raw total energies: -0.1945 eV/atom

a = 4.432 Å, b = 11.490 Å, c = 11.766 Å
α = 104.66°, β = 90.00°, γ = 90.00°
Fractional coordinates of all 20 atoms:
Mg  0.750  0.937  0.138
Mg  0.750  0.411  0.056
Mg  0.750  0.444  0.568
Mg  0.250  0.902  0.557
Mg  0.750  0.713  0.807
Mg  0.250  0.589  0.944
Bi  0.750  0.443  0.815
Mg  0.250  0.260  0.693
Bi  0.750  0.706  0.554
Mg  0.750  0.098  0.443
Mg  0.250  0.556  0.432
Mg  0.250  0.287  0.193
Sb  0.250  0.928  0.317
Mg  0.750  0.740  0.307
Bi  0.250  0.844  0.950
Sb  0.750  0.072  0.683
Bi  0.250  0.294  0.446
Bi  0.250  0.557  0.185
Bi  0.750  0.156  0.050
Mg  0.250  0.063  0.862

---

[4]
Material: Mg3BiSb
Method: DFT, PBE
State: optimized geometry

Computed properties:
magnetization: 0.00 μB/f.u.
formation energy from raw total energies: -0.2718 eV/atom

a = 4.770 Å, b = 6.781 Å, c = 11.880 Å
α = 126.93°, β = 90.00°, γ = 90.00°
Fractional coordinates of all 10 atoms:
Sb  0.250  0.404  0.386
Mg  0.750  0.112  0.360
Bi  0.750  0.596  0.102
Mg  0.250  0.424  0.640
Mg  0.250  0.865  0.123
Bi  0.250  0.940  0.898
Sb  0.750  0.132  0.614
Mg  0.250  0.916  0.647
Mg  0.750  0.671  0.877
Mg  0.750  0.620  0.353

---

[5]
Material: MgBiSb2Se
Method: DFT, PBE
State: optimized geometry

Computed properties:
magnetization: 0.00 μB/f.u.
formation energy from raw total energies: 0.5133 eV/atom

a = 5.449 Å, b = 5.559 Å, c = 5.449 Å
α = 90.00°, β = 90.00°, γ = 90.00°
Fractional coordinates of all 5 atoms:
Bi  0.000  0.500  0.000
Sb  0.500  0.000  0.000
Mg  0.500  0.500  0.500
Sb  0.000  0.000  0.500
Se  0.000  0.000  0.000

---

[6]
Material: Sr2Mg2BiSb2
Method: DFT, PBE
State: optimized geometry

Computed properties:
magnetization: 0.00 μB/f.u.
formation energy from raw total energies: -0.6204 eV/atom

a = 4.717 Å, b = 8.347 Å, c = 7.818 Å
α = 54.33°, β = 91.00°, γ = 72.18°
Fractional coordinates of all 7 atoms:
Mg  0.773  0.456  0.658
Sb  0.853  0.320  0.377
Mg  0.227  0.544  0.342
Sr  0.575  0.833  0.830
Sb  0.147  0.680  0.623
Sr  0.425  0.167  0.170
Bi  0.000  0.000  0.000